A relaxed structure of Fe2RuCl, computed with PBE.

Output
**ΔE_f (raw)**: 0.3850 eV per atom
**DFT total energy**: -6.627 eV/atom
**DOS(E_F)**: 4.20 states/eV/f.u.

Cell lengths 3.0904, 4.7981, 7.9321 Å; angles 90.00, 90.00, 90.00 degrees
Closest atoms and distances in Å follow each position.
Space group Cmmm (No. 65)
Inequivalent atoms, fractional coordinates:
1 Fe 0.0000 0.0000 0.2494  2 Ru 2.51, 2 Cl 2.52
2 Ru 0.0000 0.5000 0.0000  4 Fe 2.51
3 Cl 0.0000 0.5000 0.5000  4 Fe 2.52

=====

A relaxed structure of FeRuCl2, computed with PBE.

Output
**ΔE_f (raw)**: 0.5145 eV per atom
**DFT total energy**: -4.843 eV/atom
**DOS(E_F)**: 3.94 states/eV/f.u.

Cell lengths 2.9502, 4.0023, 5.7258 Å; angles 90.00, 90.00, 90.00 degrees
Closest atoms and distances in Å follow each position.
Space group Pmmm (No. 47)
Inequivalent atoms, fractional coordinates:
1 Fe 0.0000 0.0000 0.0000  4 Cl 2.49
2 Ru 0.5000 0.0000 0.5000  4 Cl 2.49
3 Cl 0.0000 0.5000 0.5000  4 Ru 2.49
4 Cl 0.5000 0.5000 0.0000  4 Fe 2.49

=====

A relaxed structure of Fe3RuCl, computed with PBE.

Output
**ΔE_f (raw)**: 1.3152 eV per atom
**DFT total energy**: -5.987 eV/atom
**DOS(E_F)**: 8.94 states/eV/f.u.

Cell lengths 4.6779, 4.6779, 4.6779 Å; angles 90.00, 90.00, 90.00 degrees
Closest atoms and distances in Å follow each position.
Space group Pm-3m (No. 221)
Inequivalent atoms, fractional coordinates:
1 Fe 0.0000 0.0000 0.5000  2 Ru 2.34
2 Ru 0.0000 0.0000 0.0000  6 Fe 2.34
3 Cl 0.5000 0.5000 0.5000  12 Fe 3.31

=====

A relaxed structure of Fe2RuCl, computed with PBE.

Output
**ΔE_f (raw)**: 0.6114 eV per atom
**DFT total energy**: -6.401 eV/atom
**DOS(E_F)**: 4.94 states/eV/f.u.

Cell lengths 2.8084, 4.4976, 8.7616 Å; angles 90.00, 90.00, 90.00 degrees
Closest atoms and distances in Å follow each position.
Space group Imm2 (No. 44)
Inequivalent atoms, fractional coordinates:
1 Fe 0.0000 0.0000 0.0000  4 Cl 2.65, 2 Ru 2.66, 4 Fe 2.68-2.81
2 Fe 0.0000 0.5000 0.2393  2 Cl 2.56, 4 Ru 2.66, 4 Fe 2.68-2.81
3 Ru 0.0000 0.5000 0.7577  2 Cl 2.51, 6 Fe 2.66, 2 Ru 2.81
4 Cl 0.0000 0.0000 0.4953  2 Ru 2.51, 6 Fe 2.56-2.65, 2 Cl 2.81

=====

A relaxed structure of FeRuCl2, computed with PBE.

Output
**ΔE_f (raw)**: 0.1362 eV per atom
**DFT total energy**: -5.222 eV/atom
**DOS(E_F)**: 2.60 states/eV/f.u.

Cell lengths 3.6127, 4.9890, 8.5934 Å; angles 90.00, 90.00, 90.00 degrees
Closest atoms and distances in Å follow each position.
Space group Cmm2 (No. 35)
Inequivalent atoms, fractional coordinates:
1 Fe 0.0000 0.0000 0.0000  2 Ru 2.41, 2 Cl 2.42
2 Ru 0.0000 0.5000 0.1851  2 Fe 2.41, 2 Cl 2.49
3 Cl 0.0000 0.0000 0.3846  2 Ru 2.49
4 Cl 0.0000 0.5000 0.8118  2 Fe 2.42

=====

A relaxed structure of FeRuCl2, computed with PBE.

Output
**ΔE_f (raw)**: 0.6675 eV per atom
**DFT total energy**: -4.690 eV/atom
**DOS(E_F)**: 3.55 states/eV/f.u.

Cell lengths 2.9895, 2.9895, 7.4406 Å; angles 90.00, 90.00, 90.00 degrees
Closest atoms and distances in Å follow each position.
Space group P4/mmm (No. 123)
Inequivalent atoms, fractional coordinates:
1 Fe 0.0000 0.0000 0.0000  8 Cl 2.64
2 Ru 0.0000 0.0000 0.5000  4 Ru 2.99, 8 Cl 3.01
3 Cl 0.5000 0.5000 0.2115  4 Fe 2.64

=====

A relaxed structure of Fe2RuCl, computed with PBE.

Output
**ΔE_f (raw)**: 0.6453 eV per atom
**DFT total energy**: -6.367 eV/atom
**DOS(E_F)**: 4.36 states/eV/f.u.

Cell lengths 2.8734, 4.2987, 4.4357 Å; angles 90.00, 90.00, 90.00 degrees
Closest atoms and distances in Å follow each position.
Space group Pmmm (No. 47)
Inequivalent atoms, fractional coordinates:
1 Fe 0.0000 0.0000 0.0000  6 Fe 2.59-2.87, 4 Cl 2.64
2 Fe 0.5000 0.5000 0.0000  6 Fe 2.59-2.87, 4 Ru 2.64
3 Ru 0.0000 0.5000 0.5000  4 Cl 2.59, 4 Fe 2.64, 2 Ru 2.87
4 Cl 0.5000 0.0000 0.5000  4 Ru 2.59, 4 Fe 2.64, 2 Cl 2.87

=====

A relaxed structure of FeRuCl2, computed with PBE.

Output
**ΔE_f (raw)**: 0.8696 eV per atom
**DFT total energy**: -4.488 eV/atom
**DOS(E_F)**: 3.21 states/eV/f.u.

Cell lengths 6.5071, 6.5071, 6.5071 Å; angles 90.00, 90.00, 90.00 degrees
Closest atoms and distances in Å follow each position.
Space group F-43m (No. 216)
Inequivalent atoms, fractional coordinates:
1 Fe 0.0000 0.0000 0.0000  4 Cl 2.82, 4 Ru 2.82
2 Ru 0.2500 0.2500 0.2500  4 Cl 2.82, 4 Fe 2.82
3 Cl 0.0000 0.0000 0.5000  4 Cl 2.82, 4 Ru 2.82
4 Cl 0.2500 0.2500 0.7500  4 Cl 2.82, 4 Fe 2.82

=====

A relaxed structure of FeRuCl3, computed with PBE.

Output
**ΔE_f (raw)**: 0.6283 eV per atom
**DFT total energy**: -4.027 eV/atom
**DOS(E_F)**: 15.72 states/eV/f.u.

Cell lengths 4.7835, 4.7835, 4.7835 Å; angles 90.00, 90.00, 90.00 degrees
Closest atoms and distances in Å follow each position.
Space group Pm-3m (No. 221)
Inequivalent atoms, fractional coordinates:
1 Fe 0.0000 0.0000 0.0000  6 Cl 2.39
2 Ru 0.5000 0.5000 0.5000  12 Cl 3.38
3 Cl 0.0000 0.0000 0.5000  2 Fe 2.39

=====

A relaxed structure of FeRuCl2, computed with PBE.

Output
**ΔE_f (raw)**: 0.1397 eV per atom
**DFT total energy**: -5.218 eV/atom
**DOS(E_F)**: 3.41 states/eV/f.u.

Cell lengths 2.9456, 2.9456, 8.3647 Å; angles 90.00, 90.00, 90.00 degrees
Closest atoms and distances in Å follow each position.
Space group P4mm (No. 99)
Inequivalent atoms, fractional coordinates:
1 Fe 0.0000 0.0000 0.0000  4 Cl 2.55, 4 Ru 2.66
2 Ru 0.5000 0.5000 0.1983  4 Cl 2.62, 4 Fe 2.66
3 Cl 0.0000 0.0000 0.3880  4 Ru 2.62
4 Cl 0.5000 0.5000 0.8239  4 Fe 2.55

=====

A relaxed structure of FeRuCl, computed with PBE.

Output
**ΔE_f (raw)**: 0.3596 eV per atom
**DFT total energy**: -6.169 eV/atom
**DOS(E_F)**: 3.22 states/eV/f.u.

Cell lengths 2.9024, 2.9024, 5.8823 Å; angles 90.00, 90.00, 120.00 degrees
Closest atoms and distances in Å follow each position.
Space group P3m1 (No. 156)
Inequivalent atoms, fractional coordinates:
1 Fe 0.0000 0.0000 0.0000  3 Cl 2.45, 3 Ru 2.51
2 Ru 0.6667 0.3333 0.3184  3 Fe 2.51, 3 Cl 2.78
3 Cl 0.3333 0.6667 0.6958  3 Fe 2.45

=====

A relaxed structure of Fe2RuCl, computed with PBE.

Output
**ΔE_f (raw)**: 0.7826 eV per atom
**DFT total energy**: -6.229 eV/atom
**DOS(E_F)**: 4.15 states/eV/f.u.

Cell lengths 3.6389, 3.6389, 8.7475 Å; angles 90.00, 90.00, 90.00 degrees
Closest atoms and distances in Å follow each position.
Space group I-4m2 (No. 119)
Inequivalent atoms, fractional coordinates:
1 Fe 0.0000 0.0000 0.0000  4 Cl 2.57, 4 Fe 2.84, 4 Ru 2.84
2 Fe 0.0000 0.5000 0.2500  4 Ru 2.57, 4 Cl 2.84, 4 Fe 2.84
3 Ru 0.0000 0.5000 0.7500  8 Fe 2.57-2.84, 4 Cl 2.84
4 Cl 0.0000 0.0000 0.5000  8 Fe 2.57-2.84, 4 Ru 2.84